No. 1
! PBE TbPm2UAs4, optimized geometry; values from VASP
! magnetization	2.30	μB/cell
! formation energy from the elements	-1.329	eV/atom
! calculated volume	205	Å³/f.u.
! DOS at the Fermi energy	8.44	states/eV/f.u.
! symmetry	No. 10
&SYSTEM
  ibrav = 0, nat = 8, ntyp = 4
/
ATOMIC_SPECIES
Tb 158.93 Tb.upf
Pm 145.00 Pm.upf
U 238.03 U.upf
As 74.92 As.upf
CELL_PARAMETERS angstrom
7.2231 0.0000 0.0000
0.0000 4.1560 0.0000
-2.3700 0.0000 6.8280
ATOMIC_POSITIONS angstrom
Tb 0.0000 0.0000 0.0000
Pm -1.1850 2.0780 3.4140
Pm 2.4266 0.0000 3.4140
U 3.6115 2.0780 0.0000
As 1.2494 2.0780 1.6373
As 0.0462 0.0000 5.1910
As 4.8069 0.0000 1.6370
As 3.6037 2.0780 5.1907



No. 2
! PBE Tb2Pm3YAs6, optimized geometry; values from VASP
! magnetization	0.00	μB/cell
! formation energy from the elements	-1.534	eV/atom
! calculated volume	311	Å³/f.u.
! DOS at the Fermi energy	1.80	states/eV/f.u.
! symmetry	No. 12
&SYSTEM
  ibrav = 0, nat = 12, ntyp = 4
/
ATOMIC_SPECIES
Tb 158.93 Tb.upf
Pm 145.00 Pm.upf
Y 88.91 Y.upf
As 74.92 As.upf
CELL_PARAMETERS angstrom
9.1213 -2.0943 0.0000
9.1213 2.0943 0.0000
-1.9145 0.0000 8.1474
ATOMIC_POSITIONS angstrom
Tb 2.4003 0.0000 2.7146
Tb 13.9277 0.0000 5.4328
Pm 1.4459 0.0000 6.7902
Pm 8.1640 0.0000 4.0737
Pm 14.8821 0.0000 1.3573
Y 9.1213 0.0000 0.0000
As -0.4481 0.0000 2.0057
As 5.2516 0.0000 3.4225
As 4.3600 0.0000 7.4419
As 11.9680 0.0000 0.7055
As 11.0764 0.0000 4.7250
As 16.7761 0.0000 6.1418



No. 3
! PBE Tb3Pm2YAs6, optimized geometry; values from VASP
! magnetization	0.00	μB/cell
! formation energy from the elements	-1.536	eV/atom
! calculated volume	308	Å³/f.u.
! DOS at the Fermi energy	1.77	states/eV/f.u.
! symmetry	No. 12
&SYSTEM
  ibrav = 0, nat = 12, ntyp = 4
/
ATOMIC_SPECIES
Tb 158.93 Tb.upf
Pm 145.00 Pm.upf
Y 88.91 Y.upf
As 74.92 As.upf
CELL_PARAMETERS angstrom
9.0869 -2.0860 0.0000
9.0869 2.0860 0.0000
-1.9124 0.0000 8.1153
ATOMIC_POSITIONS angstrom
Tb 0.0000 0.0000 0.0000
Tb 4.7777 0.0000 5.4062
Tb 11.4837 0.0000 2.7090
Pm 5.7498 0.0000 1.3597
Pm 10.5116 0.0000 6.7555
Y -0.9562 0.0000 4.0576
As 2.8396 0.0000 0.7040
As 1.9145 0.0000 4.6977
As 7.6237 0.0000 6.0750
As 8.6377 0.0000 2.0403
As 14.3468 0.0000 3.4176
As 13.4218 0.0000 7.4112



No. 4
! PBE TbPmY2As4, optimized geometry; values from VASP
! magnetization	0.00	μB/cell
! formation energy from the elements	-1.543	eV/atom
! calculated volume	203	Å³/f.u.
! DOS at the Fermi energy	0.92	states/eV/f.u.
! symmetry	No. 10
&SYSTEM
  ibrav = 0, nat = 8, ntyp = 4
/
ATOMIC_SPECIES
Tb 158.93 Tb.upf
Pm 145.00 Pm.upf
Y 88.91 Y.upf
As 74.92 As.upf
CELL_PARAMETERS angstrom
7.1980 0.0000 0.0000
0.0000 4.1591 0.0000
-2.3999 0.0000 6.7877
ATOMIC_POSITIONS angstrom
Tb 0.0000 0.0000 0.0000
Pm -1.2000 2.0795 3.3938
Y 2.3990 0.0000 3.3938
Y 3.5990 2.0795 0.0000
As 1.2230 2.0795 1.6846
As 0.0222 0.0000 5.1202
As 4.7758 0.0000 1.6674
As 3.5751 2.0795 5.1031



No. 5
! PBE Pm3TeAs, optimized geometry; values from VASP
! E_form (uncorrected)	-0.590	eV/atom
! magnetization	0.00	μB/cell
! calculated volume	170	Å³/f.u.
! DOS at the Fermi energy	5.19	states/eV/f.u.
! symmetry	No. 221
&SYSTEM
  ibrav = 0, nat = 5, ntyp = 3
/
ATOMIC_SPECIES
Pm 145.00 Pm.upf
Te 127.60 Te.upf
As 74.92 As.upf
CELL_PARAMETERS angstrom
5.5421 0.0000 0.0000
0.0000 5.5421 0.0000
0.0000 0.0000 5.5421
ATOMIC_POSITIONS angstrom
Pm 0.0000 0.0000 2.7710
Pm 0.0000 2.7710 0.0000
Pm 2.7710 0.0000 0.0000
Te 2.7710 2.7710 2.7710
As 0.0000 0.0000 0.0000



No. 6
! PBE Pm3TeAs2, optimized geometry; values from VASP
! E_form (uncorrected)	-1.088	eV/atom
! magnetization	0.00	μB/cell
! calculated volume	199	Å³/f.u.
! DOS at the Fermi energy	2.39	states/eV/f.u.
! symmetry	No. 74
&SYSTEM
  ibrav = 0, nat = 12, ntyp = 3
/
ATOMIC_SPECIES
Pm 145.00 Pm.upf
Te 127.60 Te.upf
As 74.92 As.upf
CELL_PARAMETERS angstrom
-3.8189 5.7876 4.4985
3.8189 -5.7876 4.4985
3.8189 5.7876 -4.4985
ATOMIC_POSITIONS angstrom
Pm 1.7506 0.0000 0.0000
Pm 5.8871 0.0000 0.0000
Pm -1.9094 2.8938 2.2493
Pm 1.7506 5.7876 0.0000
Pm 1.9094 2.8938 2.2493
Pm 2.0683 0.0000 4.4985
Te 3.8189 -2.8938 3.9885
Te 0.0000 8.6814 0.5100
As 3.8189 0.6125 1.9179
As 0.0000 0.6125 2.5806
As 3.8189 5.1751 1.9179
As 0.0000 5.1751 2.5806



No. 7
! PBE Pm5TeAs4, optimized geometry; values from VASP
! E_form (uncorrected)	-1.532	eV/atom
! magnetization	0.00	μB/cell
! calculated volume	279	Å³/f.u.
! DOS at the Fermi energy	2.82	states/eV/f.u.
! symmetry	No. 71
&SYSTEM
  ibrav = 0, nat = 10, ntyp = 3
/
ATOMIC_SPECIES
Pm 145.00 Pm.upf
Te 127.60 Te.upf
As 74.92 As.upf
CELL_PARAMETERS angstrom
-2.1348 3.0365 10.7505
2.1348 -3.0365 10.7505
2.1348 3.0365 -10.7505
ATOMIC_POSITIONS angstrom
Pm 0.0000 0.0000 0.0000
Pm 0.0000 0.0000 4.2737
Pm 0.0000 0.0000 8.3769
Pm 0.0000 0.0000 13.1241
Pm 0.0000 0.0000 17.2274
Te 0.0000 3.0365 0.0000
As 2.1348 0.0000 2.1388
As 2.1348 0.0000 6.3923
As 0.0000 3.0365 4.3582
As 0.0000 3.0365 8.6118



No. 8
! PBE Pm6TeAs5, optimized geometry; values from VASP
! E_form (uncorrected)	-1.543	eV/atom
! magnetization	0.00	μB/cell
! calculated volume	332	Å³/f.u.
! DOS at the Fermi energy	2.67	states/eV/f.u.
! symmetry	No. 12
&SYSTEM
  ibrav = 0, nat = 12, ntyp = 3
/
ATOMIC_SPECIES
Pm 145.00 Pm.upf
Te 127.60 Te.upf
As 74.92 As.upf
CELL_PARAMETERS angstrom
3.7084 -6.4132 0.0000
3.7084 6.4132 0.0000
-2.4741 0.0000 6.9866
ATOMIC_POSITIONS angstrom
Pm -0.0545 2.2270 5.1875
Pm 1.1342 0.0000 1.7964
Pm -0.0545 -2.2270 5.1875
Pm 4.9973 2.2270 1.7992
Pm 3.8086 0.0000 5.1902
Pm 4.9973 -2.2270 1.7992
Te 3.7084 0.0000 0.0000
As -1.2371 0.0000 3.4933
As 3.7084 4.2681 0.0000
As 2.4714 2.0882 3.4933
As 2.4714 -2.0882 3.4933
As 3.7084 -4.2681 0.0000



No. 9
! PBE Pm6Te5As, optimized geometry; values from VASP
! E_form (uncorrected)	-1.466	eV/atom
! magnetization	0.00	μB/cell
! calculated volume	371	Å³/f.u.
! DOS at the Fermi energy	6.01	states/eV/f.u.
! symmetry	No. 12
&SYSTEM
  ibrav = 0, nat = 12, ntyp = 3
/
ATOMIC_SPECIES
Pm 145.00 Pm.upf
Te 127.60 Te.upf
As 74.92 As.upf
CELL_PARAMETERS angstrom
3.8371 -6.6618 0.0000
3.8371 6.6618 0.0000
-2.5536 0.0000 7.2560
ATOMIC_POSITIONS angstrom
Pm -0.0980 2.0535 5.3081
Pm 1.0784 0.0000 1.9061
Pm -0.0980 -2.0535 5.3081
Pm 5.2186 2.0535 1.9479
Pm 4.0422 0.0000 5.3499
Pm 5.2186 -2.0535 1.9479
Te 3.8371 4.3396 0.0000
Te 2.5603 2.2005 3.6280
Te 3.8371 0.0000 0.0000
Te 2.5603 -2.2005 3.6280
Te 3.8371 -4.3396 0.0000
As -1.2768 0.0000 3.6280



No. 10
! PBE PmTe2As, optimized geometry; values from VASP
! E_form (uncorrected)	-0.083	eV/atom
! magnetization	0.00	μB/cell
! calculated volume	136	Å³/f.u.
! DOS at the Fermi energy	1.82	states/eV/f.u.
! symmetry	No. 166
&SYSTEM
  ibrav = 0, nat = 12, ntyp = 3
/
ATOMIC_SPECIES
Pm 145.00 Pm.upf
Te 127.60 Te.upf
As 74.92 As.upf
CELL_PARAMETERS angstrom
4.0634 0.0000 0.0000
-2.0317 3.5190 0.0000
0.0000 0.0000 28.5177
ATOMIC_POSITIONS angstrom
Pm 0.0000 0.0000 0.0000
Pm 0.0000 2.3460 19.0118
Pm 2.0317 1.1730 9.5059
Te 0.0000 0.0000 3.0770
Te 0.0000 0.0000 25.4407
Te 0.0000 2.3460 15.9348
Te 0.0000 2.3460 22.0888
Te 2.0317 1.1730 6.4289
Te 2.0317 1.1730 12.5829
As 0.0000 0.0000 14.2588
As 0.0000 2.3460 4.7530
As 2.0317 1.1730 23.7647



No. 11
! PBE Pm4Te4As, optimized geometry; values from VASP
! E_form (uncorrected)	-1.130	eV/atom
! magnetization	0.01	μB/cell
! calculated volume	364	Å³/f.u.
! DOS at the Fermi energy	4.15	states/eV/f.u.
! symmetry	No. 121
&SYSTEM
  ibrav = 0, nat = 9, ntyp = 3
/
ATOMIC_SPECIES
Pm 145.00 Pm.upf
Te 127.60 Te.upf
As 74.92 As.upf
CELL_PARAMETERS angstrom
-3.7541 3.7541 6.4594
3.7541 -3.7541 6.4594
3.7541 3.7541 -6.4594
ATOMIC_POSITIONS angstrom
Pm 2.1815 -2.1815 4.8287
Pm 1.5726 1.5726 1.6307
Pm -2.1815 2.1815 4.8287
Pm 2.1815 2.1815 8.0901
Te 3.7541 0.0000 0.0000
Te 0.0000 0.0000 3.8766
Te 0.0000 3.7541 0.0000
Te 0.0000 0.0000 9.0422
As 0.0000 0.0000 0.0000



No. 12
! PBE Pm5Te4As, optimized geometry; values from VASP
! E_form (uncorrected)	-1.453	eV/atom
! magnetization	0.00	μB/cell
! calculated volume	307	Å³/f.u.
! excess energy over the best structure of this formula in the dataset	0.0063	eV/atom
! DOS at the Fermi energy	4.44	states/eV/f.u.
! symmetry	No. 139
&SYSTEM
  ibrav = 0, nat = 10, ntyp = 3
/
ATOMIC_SPECIES
Pm 145.00 Pm.upf
Te 127.60 Te.upf
As 74.92 As.upf
CELL_PARAMETERS angstrom
-2.1915 2.1915 15.9799
2.1915 -2.1915 15.9799
2.1915 2.1915 -15.9799
ATOMIC_POSITIONS angstrom
Pm 0.0000 0.0000 0.0000
Pm 0.0000 0.0000 6.6745
Pm 0.0000 0.0000 13.1400
Pm 0.0000 0.0000 18.8198
Pm 0.0000 0.0000 25.2853
Te 0.0000 0.0000 3.2769
Te 0.0000 0.0000 9.8362
Te 0.0000 0.0000 22.1236
Te 0.0000 0.0000 28.6829
As 0.0000 0.0000 15.9799